Here is a relaxed structure of In2CoAs from the Alexandria database. Energies are from GGA-PBE.

Cell lengths 4.993, 4.993, 6.153 Å; angles 67.95, 67.95, 35.72 degrees
Positions (direct):
In  0.764  0.764  0.759
As  0.599  0.599  0.462
In  0.935  0.935  0.128
Co  0.201  0.201  0.151

Properties
The calculation puts the density of states at the Fermi level at 1.96 states/eV/f.u. The energy relative to the elements comes out at 3 meV/atom. The calculated density is 7.33 g cm⁻³. The space group is Cm, No. 8.